Material: Li3VO3F2
Method: DFT, PBE+U
State: relaxed

Cell: 5.171 5.222 5.294 Å, 70.26 70.07 72.14°
Space group P1 (No. 1)
Symmetry-distinct sites (fractional):
1 Li 0.000 0.000 0.000 x1
2 Li 0.220 0.531 0.796 x1
3 Li 0.607 0.971 0.604 x1
4 V 0.614 0.570 0.196 x1
5 O 0.533 0.685 0.483 x1
6 O 0.771 0.227 0.255 x1
7 O 0.822 0.762 0.911 x1
8 F 0.272 0.184 0.763 x1
9 F 0.279 0.621 0.109 x1

Results
ΔE to the lowest computed polymorph = 3 meV per atom
M_tot = 0.00 μB per formula unit
V = 123 Å³/cell
final energy = -5.89 eV per atom